No. 1
GGA-PBE Pm2GdSc, relaxed; magnetic moment = 7.2 μB per formula unit; ΔH_f (0 K) = 0.23 eV/atom; SG = R-3m, No. 166; final energy = -7.250 eV per atom
1.0
3.455 0.000 0.000
1.727 2.992 0.000
1.727 0.997 12.225
Sc Gd Pm
1 1 2
Direct
0.000 0.000 0.000
0.500 0.500 0.500
0.086 0.086 0.742
0.914 0.914 0.258

No. 2
GGA-PBE V2PtN, relaxed; magnetic moment = 0.0 μB per formula unit; SG = R-3m, No. 166; E_form (uncorrected) = -81.1 kJ per mole of atoms; final energy = -8.991 eV per atom
1.0
2.903 0.000 0.000
1.451 2.514 0.000
1.451 0.838 6.497
N Pt V
1 1 2
Direct
0.500 0.500 0.500
0.000 0.000 0.000
0.779 0.779 0.664
0.221 0.221 0.336

No. 3
GGA-PBE BeMoOs2, relaxed; magnetic moment = 0.0 μB per formula unit; ΔH_f (0 K) = 0.08 eV/atom; SG = Pmm2, No. 25; final energy = -9.173 eV per atom
1.0
-2.170 -1.292 -1.106
1.572 0.350 -3.494
2.382 -4.531 0.617
Be Mo Os
1 1 2
Direct
0.000 0.000 0.487
0.500 0.500 0.739
0.000 0.000 0.001
0.500 0.500 0.273

No. 4
GGA-PBE NdTmPu2P4, relaxed; magnetic moment = 0.1 μB per formula unit; ΔH_f (0 K) = -1.32 eV/atom; SG = P2/m, No. 10; final energy = -8.760 eV per atom
1.0
4.032 0.000 0.000
0.000 6.964 0.111
0.000 -2.443 6.508
Nd Tm Pu P
1 1 2 4
Direct
0.000 0.000 0.000
0.500 0.500 0.000
0.500 0.000 0.500
0.000 0.500 0.500
0.500 0.262 0.260
0.500 0.738 0.740
0.000 0.254 0.745
0.000 0.746 0.255

No. 5
GGA-PBE Cs3In2H8, relaxed; magnetic moment = 0.0 μB per formula unit; SG = R-3m, No. 166; final energy = -2.716 eV per atom
1.0
6.502 0.000 0.000
3.251 5.631 0.000
3.251 1.877 7.719
Cs In H
3 2 8
Direct
0.000 0.000 0.000
0.792 0.792 0.625
0.208 0.208 0.375
0.577 0.577 0.270
0.423 0.423 0.730
0.656 0.656 0.032
0.344 0.344 0.968
0.241 0.724 0.310
0.724 0.241 0.310
0.724 0.724 0.310
0.276 0.759 0.690
0.759 0.276 0.690
0.276 0.276 0.690

No. 6
GGA-PBE Co2GeN, relaxed; magnetic moment = 0.0 μB per formula unit; SG = I-42d, No. 122; E_form (uncorrected) = 10.3 kJ per mole of atoms; final energy = -6.681 eV per atom
1.0
4.819 0.000 0.000
0.000 4.819 0.000
2.409 2.409 4.503
Ge Co N
2 4 2
Direct
0.000 0.000 0.000
0.750 0.250 0.500
0.523 0.125 0.250
0.227 0.625 0.250
0.375 0.477 0.750
0.875 0.773 0.750
0.500 0.500 0.000
0.250 0.750 0.500

No. 7
GGA-PBE CeSi2Mo2, relaxed; magnetic moment = 0.8 μB per formula unit; SG = Fddd, No. 70; E_form (uncorrected) = -14.1 kJ per mole of atoms; final energy = -7.835 eV per atom
1.0
-6.075 -1.030 1.964
0.092 -1.534 -6.282
4.212 -3.624 3.371
Ce Si Mo
2 4 4
Direct
0.875 0.625 0.750
0.125 0.375 0.250
0.161 0.339 0.750
0.411 0.089 0.250
0.589 0.911 0.750
0.839 0.661 0.250
0.254 0.004 0.508
0.504 0.754 0.008
0.746 0.996 0.492
0.496 0.246 0.992

No. 8
GGA-PBE TcOs3, relaxed; magnetic moment = 0.0 μB per formula unit; ΔH_f (0 K) = 0.09 eV/atom; SG = I4/mmm, No. 139; final energy = -10.926 eV per atom
1.0
-1.928 1.928 7.745
1.928 -1.928 7.745
1.928 1.928 -7.745
Tc Os
2 6
Direct
0.375 0.375 0.000
0.625 0.625 0.000
0.500 0.000 0.500
0.000 0.500 0.500
0.750 0.250 0.500
0.250 0.750 0.500
0.125 0.125 0.000
0.875 0.875 0.000

No. 9
GGA-PBE Li2TbPr, relaxed; magnetic moment = 0.1 μB per formula unit; ΔH_f (0 K) = 0.15 eV/atom; SG = Fm-3m, No. 225; final energy = -3.157 eV per atom
1.0
-1.569 4.635 -2.184
-2.129 0.060 -4.917
-5.220 1.026 -0.648
Pr Tb Li
1 1 2
Direct
0.500 0.500 0.500
0.000 0.000 0.000
0.250 0.250 0.250
0.750 0.750 0.750